A plane-wave DFT calculation with GGA-PBE was carried out for crystalline Sr2B4Ir3 at its relaxed geometry.

Output
E_form = 0.093 eV per atom
Total moment = 0.0 μB per formula unit
ρ = 8.6 g/cm3
D(E_F) = 0.4452 states/eV per atom
DFT total energy = -55.8 eV per cell

Structure (POSCAR):
```
Sr2B4Ir3
1.0
0.0000 4.7799 5.5589
2.8821 0.0000 5.5589
2.8821 4.7799 0.0000
Sr B Ir
2 4 3
Cartesian
2.8821 4.7799 1.7570
2.8821 4.7799 9.3607
2.8821 3.1156 4.1928
2.8821 3.1156 6.9249
2.8821 6.4442 4.1928
2.8821 6.4442 6.9249
1.4410 2.3899 0.0000
1.4410 2.3899 5.5589
2.8821 4.7799 5.5589
```

---

A plane-wave DFT calculation with GGA-PBE was carried out for crystalline Ta5Ag at its relaxed geometry.

Output
E_form = 0.266 eV per atom
Total moment = 0.0 μB per formula unit
ρ = 15.3 g/cm3
Offset from the most stable computed form = 9.2 kJ per mole of atoms
D(E_F) = 1.1055 states/eV per atom
DFT total energy = -121.0 eV per cell

Structure (POSCAR):
```
Ta5Ag
1.0
11.3468 0.0000 0.0000
0.0000 2.7637 0.0000
-1.6204 0.0000 7.0281
Ta Ag
10 2
Cartesian
0.0000 0.0000 0.0000
-0.2409 0.0000 4.5042
1.1519 1.3819 6.8160
2.7347 0.0000 4.6522
4.1351 0.0000 2.1599
5.6734 1.3819 0.0000
5.4325 1.3819 4.5042
6.8253 0.0000 6.8160
8.4081 1.3819 4.6522
9.8085 1.3819 2.1599
1.4117 1.3819 2.3663
7.0851 0.0000 2.3663
```

---

A plane-wave DFT calculation with GGA-PBE was carried out for crystalline Pm3Cu4Au4 at its relaxed geometry.

Output
E_form = -0.461 eV per atom
Total moment = 0.0 μB per formula unit
ρ = 10.8 g/cm3
D(E_F) = 0.5952 states/eV per atom
DFT total energy = -48.8 eV per cell

Structure (POSCAR):
```
Pm3Cu4Au4
1.0
3.7225 0.0000 0.0000
-0.0009 4.4786 0.0000
-1.8603 -1.6504 13.6315
Pm Cu Au
3 4 4
Cartesian
0.0000 0.0000 0.0000
-0.0033 2.2589 3.9842
1.8646 0.5693 9.6473
0.0014 0.5426 7.0021
0.0064 2.8285 10.9693
1.8548 -0.0003 2.6622
1.8599 2.2856 6.6294
0.0009 2.8004 8.4005
-0.0018 0.5888 12.2247
1.8631 2.2394 1.4068
1.8604 0.0278 5.2309
```

---

A plane-wave DFT calculation with GGA-PBE was carried out for crystalline LaCl4 at its relaxed geometry.

Output
Total moment = 1.0 μB per formula unit
ΔE_f (raw) = -1650 meV per atom
ρ = 2.6 g/cm3
D(E_F) = 0.3230 states/eV per atom
DFT total energy = -41.1 eV per cell

Structure (POSCAR):
```
LaCl4
1.0
9.7594 0.0000 0.0000
0.0000 9.7594 0.0000
0.0000 0.0000 3.8314
La Cl
2 8
Cartesian
0.0000 0.0000 0.0000
4.8797 4.8797 1.9157
0.6207 2.1102 1.9157
2.1102 9.1387 1.9157
2.7695 5.5004 0.0000
4.2590 2.7695 0.0000
5.5004 6.9899 0.0000
6.9899 4.2590 0.0000
7.6492 0.6207 1.9157
9.1387 7.6492 1.9157
```

---

A plane-wave DFT calculation with GGA-PBE was carried out for crystalline Pm8PrY2 at its relaxed geometry.

Output
E_form = 0.146 eV per atom
Total moment = 0.0 μB per formula unit
ρ = 6.3 g/cm3
Offset from the most stable computed form = 3.5 kJ per mole of atoms
D(E_F) = 1.5721 states/eV per atom
DFT total energy = -54.1 eV per cell

Structure (POSCAR):
```
Pm8PrY2
1.0
9.7563 -3.5405 0.0000
9.7563 3.5405 0.0000
-0.3326 0.0000 5.6800
Pm Pr Y
8 1 2
Cartesian
0.7961 0.0000 1.3510
7.0782 1.8981 1.5257
5.8464 0.0000 4.3700
12.1018 1.8981 4.1543
7.0782 -1.8981 1.5257
13.3336 0.0000 1.3100
12.1018 -1.8981 4.1543
18.3839 0.0000 4.3290
9.7563 0.0000 0.0000
4.1243 0.0000 1.4480
15.0557 0.0000 4.2320
```

---

A plane-wave DFT calculation with GGA-PBE was carried out for crystalline TbYSe3 at its relaxed geometry.

Output
Total moment = 0.0 μB per formula unit
ΔE_f (raw) = -1849 meV per atom
ρ = 6.0 g/cm3
Offset from the most stable computed form = 0.0 kJ per mole of atoms
DFT total energy = -61.6 eV per cell

Structure (POSCAR):
```
TbYSe3
1.0
8.0852 0.0000 0.0000
0.0000 4.0549 0.0000
-0.6672 0.0000 8.1491
Tb Y Se
2 2 6
Cartesian
0.7578 1.0137 2.1933
6.6602 3.0412 5.9558
2.3333 3.0412 6.6699
5.0846 1.0137 1.4792
0.3837 1.0137 7.2428
1.1029 3.0412 4.2206
3.0424 3.0412 1.4660
4.3756 1.0137 6.6831
6.3151 1.0137 3.9285
7.0343 3.0412 0.9063
```

---

A plane-wave DFT calculation with GGA-PBE was carried out for crystalline CeGa2HRu2 at its relaxed geometry.

Output
Total moment = 0.0 μB per formula unit
ρ = 8.7 g/cm3
D(E_F) = 0.8462 states/eV per atom
DFT total energy = -36.5 eV per cell

Structure (POSCAR):
```
CeGa2HRu2
1.0
4.1756 0.0000 0.0000
0.0000 4.1756 0.0000
0.0000 0.0000 5.2542
Ce Ga H Ru
1 2 1 2
Cartesian
0.0000 0.0000 0.0000
2.0878 2.0878 1.2223
2.0878 2.0878 4.0319
0.0000 0.0000 2.6271
0.0000 2.0878 2.6271
2.0878 0.0000 2.6271
```

---

A plane-wave DFT calculation with GGA-PBE was carried out for crystalline La2AlHgGe at its relaxed geometry.

Output
E_form = -0.551 eV per atom
Total moment = 0.0 μB per formula unit
ρ = 6.9 g/cm3
D(E_F) = 0.7339 states/eV per atom
DFT total energy = -42.5 eV per cell

Structure (POSCAR):
```
La2AlHgGe
1.0
7.7001 0.0000 0.0000
0.0000 4.6732 0.0000
-0.4473 0.0000 7.7776
La Al Hg Ge
4 2 2 2
Cartesian
-0.0431 1.1683 2.3630
3.4122 3.5049 5.7226
3.8405 1.1683 2.0550
7.2959 3.5049 5.4146
1.5630 3.5049 0.6125
5.6898 1.1683 7.1652
1.2359 1.1683 7.0126
6.0168 3.5049 0.7651
1.9351 3.5049 3.0865
5.3177 1.1683 4.6911
```

---

A plane-wave DFT calculation with GGA-PBE was carried out for crystalline Y2HoErS6 at its relaxed geometry.

Output
Total moment = 0.0 μB per formula unit
ΔE_f (raw) = -2064 meV per atom
ρ = 4.6 g/cm3
D(E_F) = 0.0000 states/eV per atom
DFT total energy = -67.5 eV per cell

Structure (POSCAR):
```
Y2HoErS6
1.0
3.4448 1.9888 6.1601
-3.4448 1.9888 6.1601
0.0000 -3.9777 6.1601
Y Ho Er S
2 1 1 6
Cartesian
0.0000 0.0000 0.0000
0.0000 0.0000 9.2339
0.0000 0.0000 3.7068
0.0000 0.0000 12.9381
-1.0658 -2.1934 8.0272
-2.0700 0.0226 11.1098
-1.3667 2.0197 8.0272
1.0154 -1.8039 11.1098
2.4324 0.1737 8.0272
1.0546 1.7813 11.1098
```

---

A plane-wave DFT calculation with GGA-PBE was carried out for crystalline Ce4NdPb4 at its relaxed geometry.

Output
E_form = -0.206 eV per atom
Total moment = 4.5 μB per formula unit
ρ = 9.2 g/cm3
D(E_F) = 2.8679 states/eV per atom
DFT total energy = -90.4 eV per cell

Structure (POSCAR):
```
Ce4NdPb4
1.0
9.2967 0.0000 0.0000
0.0000 9.2967 0.0000
0.0000 0.0000 6.4274
Ce Nd Pb
8 2 8
Cartesian
0.7807 7.6228 0.7268
1.6740 5.4291 3.9405
2.9744 8.5160 3.9405
3.8676 6.3223 0.7268
5.4291 2.9744 5.7005
6.3223 0.7807 2.4869
7.6228 3.8676 2.4869
8.5160 1.6740 5.7005
2.3242 2.3242 4.8205
6.9725 6.9725 1.6068
0.3910 1.2990 2.3976
1.2990 4.2573 0.8161
3.3494 0.3910 0.8161
4.2573 3.3494 2.3976
5.0394 5.9473 4.0298
5.9473 8.9057 5.6113
7.9977 5.0394 5.6113
8.9057 7.9977 4.0298
```

---

A plane-wave DFT calculation with GGA-PBE was carried out for crystalline Tl4InSn at its relaxed geometry.

Output
E_form = 0.161 eV per atom
Total moment = 0.0 μB per formula unit
ρ = 9.1 g/cm3
Offset from the most stable computed form = 12.9 kJ per mole of atoms
D(E_F) = 0.6424 states/eV per atom
DFT total energy = -15.2 eV per cell

Structure (POSCAR):
```
Tl4InSn
1.0
0.0000 4.5707 4.5707
4.5707 0.0000 4.5707
4.5707 4.5707 0.0000
Tl In Sn
4 1 1
Cartesian
1.1448 1.1448 1.1448
3.4260 3.4260 1.1448
3.4260 1.1448 3.4260
1.1448 3.4260 3.4260
6.8561 6.8561 6.8561
4.5707 4.5707 4.5707
```

---

A plane-wave DFT calculation with GGA-PBE was carried out for crystalline LaRh3Se at its relaxed geometry.

Output
Total moment = 0.0 μB per formula unit
ΔE_f (raw) = -296 meV per atom
ρ = 8.6 g/cm3
Offset from the most stable computed form = 0.0 kJ per mole of atoms
D(E_F) = 1.3743 states/eV per atom
DFT total energy = -31.9 eV per cell

Structure (POSCAR):
```
LaRh3Se
1.0
4.6755 0.0000 0.0000
0.0000 4.6755 0.0000
0.0000 0.0000 4.6755
La Rh Se
1 3 1
Cartesian
0.0000 0.0000 0.0000
0.0000 2.3377 2.3377
2.3377 0.0000 2.3377
2.3377 2.3377 0.0000
2.3377 2.3377 2.3377
```